1.
{"formula": "NaMo3H", "functional": "PBE", "state": "optimized geometry", "lattice_angstrom": [[-4.195, 0.748, -1.576], [-1.471, -3.721, 2.151], [-0.937, 2.496, 3.678]], "species": ["Mo", "Mo", "Na", "Mo", "H"], "fractional_positions": [[0.000, 0.500, 0.000], [0.000, 0.000, 0.500], [0.000, 0.000, 0.000], [0.500, 0.000, 0.000], [0.500, 0.500, 0.500]], "crystal_system": "cubic", "dos_ef_per_ev_cell": 8.0, "mass_density_kg_m3": 5523, "space_group": "No. 221", "volume_a3_per_cell": 93.8}

=====

2.
{"formula": "NaMoH4", "functional": "PBE", "state": "optimized geometry", "lattice_angstrom": [[4.889, -0.743, -1.185], [-3.063, 5.230, -2.179], [0.376, 0.113, 5.526]], "species": ["Mo", "H", "H", "H", "Mo", "Na", "H", "H", "H", "H", "H", "Na"], "fractional_positions": [[0.749, 0.999, 0.997], [0.800, 0.770, 0.718], [0.582, 0.051, 0.282], [0.292, 0.705, 0.880], [0.251, 0.001, 0.003], [0.600, 0.350, 0.699], [0.911, 0.825, 0.120], [0.089, 0.175, 0.880], [0.200, 0.230, 0.282], [0.418, 0.949, 0.718], [0.708, 0.295, 0.120], [0.400, 0.650, 0.301]], "crystal_system": "monoclinic", "dos_ef_per_ev_cell": 3.9, "mass_density_kg_m3": 3064, "space_group": "No. 15", "volume_a3_per_cell": 133.3}

=====

3.
{"formula": "Na3MoH7", "functional": "PBE", "state": "optimized geometry", "lattice_angstrom": [[2.014, 3.535, 3.844], [-0.018, -4.173, 3.730], [4.629, -1.261, 2.705]], "species": ["H", "H", "H", "Na", "Na", "H", "Na", "H", "H", "H", "Mo"], "fractional_positions": [[0.675, 0.108, 0.134], [0.055, 0.302, 0.652], [0.133, 0.133, 0.152], [0.456, 0.456, 0.060], [0.217, 0.734, 0.532], [0.108, 0.675, 0.134], [0.734, 0.217, 0.532], [0.679, 0.679, 0.464], [0.302, 0.055, 0.652], [0.795, 0.795, 0.917], [0.971, 0.971, 0.023]], "crystal_system": "monoclinic", "mass_density_kg_m3": 2335, "space_group": "No. 8", "volume_a3_per_cell": 122.3}

=====

4.
{"formula": "Na3MoH6", "functional": "PBE", "state": "optimized geometry", "lattice_angstrom": [[-5.095, 2.036, 0.644], [-1.935, -3.638, -3.803], [-6.472, -3.175, 6.329]], "species": ["H", "Na", "Na", "Na", "H", "Na", "Na", "H", "H", "H", "H", "H", "H", "H", "Mo", "H", "H", "Na", "H", "Mo"], "fractional_positions": [[0.773, 0.683, 0.456], [0.754, 0.031, 0.752], [0.246, 0.969, 0.248], [0.246, 0.531, 0.748], [0.320, 0.952, 0.777], [0.500, 0.500, 0.000], [0.500, 0.000, 0.500], [0.117, 0.768, 0.559], [0.117, 0.732, 0.059], [0.320, 0.548, 0.277], [0.680, 0.048, 0.223], [0.227, 0.317, 0.544], [0.883, 0.268, 0.941], [0.227, 0.183, 0.044], [0.000, 0.000, 0.000], [0.773, 0.817, 0.956], [0.883, 0.232, 0.441], [0.754, 0.469, 0.252], [0.680, 0.452, 0.723], [0.000, 0.500, 0.500]], "crystal_system": "monoclinic", "mass_density_kg_m3": 2340, "space_group": "No. 14", "volume_a3_per_cell": 242.7}

=====

5.
{"formula": "Na2MoH5", "functional": "PBE", "state": "optimized geometry", "lattice_angstrom": [[-2.523, -0.017, -1.645], [-1.340, -5.148, 2.101], [-2.311, 3.894, 3.495]], "species": ["H", "Na", "H", "H", "Mo", "H", "Na", "H"], "fractional_positions": [[0.625, 0.245, 0.245], [0.625, 0.041, 0.566], [0.125, 0.862, 0.266], [0.126, 0.816, 0.816], [0.125, 0.067, 0.067], [0.625, 0.915, 0.915], [0.625, 0.566, 0.041], [0.125, 0.266, 0.862]], "crystal_system": "orthorhombic", "dos_ef_per_ev_cell": 1.5, "mass_density_kg_m3": 2591, "space_group": "No. 38", "volume_a3_per_cell": 94.2}

=====

| no. | calculated total energy (eV per atom) |
| --- | --- |
| 1 | -4.02 |
| 2 | -4.23 |
| 3 | -3.58 |
| 4 | -3.53 |
| 5 | -3.82 |